(1)
Density functional theory data (PBEsol) for TaFeO4 after structural relaxation.

CIF file:
```
data_TaFeO4
_chemical_formula_sum 'Ta4 Fe4 O16'
_space_group_name_H-M_alt 'P 1'
_space_group_IT_number 1
_cell_length_a 4.532
_cell_length_b 11.191
_cell_length_c 4.736
_cell_angle_alpha 90.00
_cell_angle_beta 90.00
_cell_angle_gamma 90.00
loop_
_space_group_symop_operation_xyz
'x,y,z'
loop_
_atom_site_label
_atom_site_type_symbol
_atom_site_fract_x
_atom_site_fract_y
_atom_site_fract_z
_atom_site_occupancy
Ta1 Ta 0.000 0.174 0.250 1
Ta2 Ta 0.000 0.826 0.750 1
Ta3 Ta 0.500 0.326 0.750 1
Ta4 Ta 0.500 0.674 0.250 1
Fe1 Fe 0.000 0.441 0.250 1
Fe2 Fe 0.000 0.559 0.750 1
Fe3 Fe 0.500 0.059 0.750 1
Fe4 Fe 0.500 0.941 0.250 1
O1 O 0.227 0.315 0.081 1
O2 O 0.227 0.685 0.581 1
O3 O 0.237 0.440 0.575 1
O4 O 0.237 0.560 0.075 1
O5 O 0.263 0.060 0.075 1
O6 O 0.263 0.940 0.575 1
O7 O 0.273 0.185 0.581 1
O8 O 0.273 0.815 0.081 1
O9 O 0.727 0.185 0.919 1
O10 O 0.727 0.815 0.419 1
O11 O 0.737 0.060 0.425 1
O12 O 0.737 0.940 0.925 1
O13 O 0.763 0.440 0.925 1
O14 O 0.763 0.560 0.425 1
O15 O 0.773 0.315 0.419 1
O16 O 0.773 0.685 0.919 1
```

Properties
Density of states at the Fermi level   10.293 states/eV/cell
Space-group type   Pbcn, No. 60


(2)
Density functional theory data (PBEsol) for TaFeO4 after structural relaxation.

CIF file:
```
data_TaFeO4
_chemical_formula_sum 'Ta1 Fe1 O4'
_space_group_name_H-M_alt 'P 1'
_space_group_IT_number 1
_cell_length_a 4.686
_cell_length_b 4.686
_cell_length_c 3.032
_cell_angle_alpha 90.00
_cell_angle_beta 90.00
_cell_angle_gamma 91.55
loop_
_space_group_symop_operation_xyz
'x,y,z'
loop_
_atom_site_label
_atom_site_type_symbol
_atom_site_fract_x
_atom_site_fract_y
_atom_site_fract_z
_atom_site_occupancy
Ta1 Ta 0.000 0.000 0.000 1
Fe1 Fe 0.500 0.500 0.500 1
O1 O 0.193 0.807 0.500 1
O2 O 0.302 0.302 0.000 1
O3 O 0.698 0.698 0.000 1
O4 O 0.807 0.193 0.500 1
```

Properties
Density of states at the Fermi level   0.958 states/eV/cell
Space-group type   Cmmm, No. 65


(3)
Density functional theory data (PBEsol) for TaFeO4 after structural relaxation.

CIF file:
```
data_TaFeO4
_chemical_formula_sum 'Ta2 Fe2 O8'
_space_group_name_H-M_alt 'P 1'
_space_group_IT_number 1
_cell_length_a 4.645
_cell_length_b 5.621
_cell_length_c 4.988
_cell_angle_alpha 90.00
_cell_angle_beta 90.29
_cell_angle_gamma 90.00
loop_
_space_group_symop_operation_xyz
'x,y,z'
loop_
_atom_site_label
_atom_site_type_symbol
_atom_site_fract_x
_atom_site_fract_y
_atom_site_fract_z
_atom_site_occupancy
Ta1 Ta 0.000 0.179 0.250 1
Ta2 Ta 0.000 0.821 0.750 1
Fe1 Fe 0.500 0.333 0.750 1
Fe2 Fe 0.500 0.667 0.250 1
O1 O 0.226 0.113 0.580 1
O2 O 0.226 0.887 0.080 1
O3 O 0.269 0.384 0.082 1
O4 O 0.269 0.616 0.582 1
O5 O 0.731 0.384 0.418 1
O6 O 0.731 0.616 0.918 1
O7 O 0.774 0.113 0.920 1
O8 O 0.774 0.887 0.420 1
```

Properties
Density of states at the Fermi level   0.028 states/eV/cell
Space-group type   P2/c, No. 13


(4)
Density functional theory data (PBEsol) for TaFeO4 after structural relaxation.

CIF file:
```
data_TaFeO4
_chemical_formula_sum 'Ta3 Fe3 O12'
_space_group_name_H-M_alt 'P 1'
_space_group_IT_number 1
_cell_length_a 4.584
_cell_length_b 4.584
_cell_length_c 8.695
_cell_angle_alpha 90.00
_cell_angle_beta 90.00
_cell_angle_gamma 90.47
loop_
_space_group_symop_operation_xyz
'x,y,z'
loop_
_atom_site_label
_atom_site_type_symbol
_atom_site_fract_x
_atom_site_fract_y
_atom_site_fract_z
_atom_site_occupancy
Ta1 Ta 0.000 0.000 0.000 1
Ta2 Ta 0.000 0.000 0.352 1
Ta3 Ta 0.500 0.500 0.813 1
Fe1 Fe 0.000 0.000 0.650 1
Fe2 Fe 0.500 0.500 0.173 1
Fe3 Fe 0.500 0.500 0.504 1
O1 O 0.193 0.807 0.822 1
O2 O 0.205 0.795 0.164 1
O3 O 0.214 0.786 0.501 1
O4 O 0.286 0.286 0.659 1
O5 O 0.309 0.309 0.001 1
O6 O 0.311 0.311 0.334 1
O7 O 0.689 0.689 0.334 1
O8 O 0.691 0.691 0.001 1
O9 O 0.714 0.714 0.659 1
O10 O 0.786 0.214 0.501 1
O11 O 0.795 0.205 0.164 1
O12 O 0.807 0.193 0.822 1
```

Properties
Density of states at the Fermi level   8.141 states/eV/cell
Space-group type   Cmm2, No. 35


(5)
Density functional theory data (PBEsol) for TaFeO4 after structural relaxation.

CIF file:
```
data_TaFeO4
_chemical_formula_sum 'Ta2 Fe2 O8'
_space_group_name_H-M_alt 'P 1'
_space_group_IT_number 1
_cell_length_a 5.430
_cell_length_b 5.430
_cell_length_c 5.430
_cell_angle_alpha 106.16
_cell_angle_beta 106.16
_cell_angle_gamma 116.33
loop_
_space_group_symop_operation_xyz
'x,y,z'
loop_
_atom_site_label
_atom_site_type_symbol
_atom_site_fract_x
_atom_site_fract_y
_atom_site_fract_z
_atom_site_occupancy
Ta1 Ta 0.000 0.000 0.000 1
Ta2 Ta 0.750 0.250 0.500 1
Fe1 Fe 0.231 0.731 0.500 1
Fe2 Fe 0.481 0.481 0.000 1
O1 O 0.196 0.484 0.712 1
O2 O 0.234 0.022 0.788 1
O3 O 0.234 0.446 0.212 1
O4 O 0.278 0.974 0.304 1
O5 O 0.670 0.974 0.696 1
O6 O 0.724 0.528 0.804 1
O7 O 0.724 0.920 0.196 1
O8 O 0.772 0.484 0.288 1
```

Properties
Density of states at the Fermi level   3.149 states/eV/cell
Space-group type   I4_1md, No. 109


(6)
Density functional theory data (PBEsol) for TaTiFeO6 after structural relaxation.

CIF file:
```
data_TaTiFeO6
_chemical_formula_sum 'Ta2 Ti2 Fe2 O12'
_space_group_name_H-M_alt 'P 1'
_space_group_IT_number 1
_cell_length_a 4.652
_cell_length_b 4.652
_cell_length_c 8.989
_cell_angle_alpha 90.00
_cell_angle_beta 90.00
_cell_angle_gamma 90.00
loop_
_space_group_symop_operation_xyz
'x,y,z'
loop_
_atom_site_label
_atom_site_type_symbol
_atom_site_fract_x
_atom_site_fract_y
_atom_site_fract_z
_atom_site_occupancy
Ta1 Ta 0.000 0.000 0.000 1
Ta2 Ta 0.500 0.500 0.500 1
Ti1 Ti 0.000 0.000 0.666 1
Ti2 Ti 0.500 0.500 0.166 1
Fe1 Fe 0.000 0.000 0.334 1
Fe2 Fe 0.500 0.500 0.834 1
O1 O 0.195 0.195 0.831 1
O2 O 0.197 0.197 0.503 1
O3 O 0.201 0.201 0.163 1
O4 O 0.299 0.701 0.663 1
O5 O 0.303 0.697 0.003 1
O6 O 0.305 0.695 0.331 1
O7 O 0.695 0.305 0.331 1
O8 O 0.697 0.303 0.003 1
O9 O 0.701 0.299 0.663 1
O10 O 0.799 0.799 0.163 1
O11 O 0.803 0.803 0.503 1
O12 O 0.805 0.805 0.831 1
```

Properties
Space-group type   P4_2nm, No. 102


(7)
Density functional theory data (PBEsol) for Ta2Zn2FeO8 after structural relaxation.

CIF file:
```
data_Ta2Zn2FeO8
_chemical_formula_sum 'Ta4 Zn4 Fe2 O16'
_space_group_name_H-M_alt 'P 1'
_space_group_IT_number 1
_cell_length_a 9.959
_cell_length_b 9.959
_cell_length_c 5.198
_cell_angle_alpha 90.54
_cell_angle_beta 90.54
_cell_angle_gamma 34.31
loop_
_space_group_symop_operation_xyz
'x,y,z'
loop_
_atom_site_label
_atom_site_type_symbol
_atom_site_fract_x
_atom_site_fract_y
_atom_site_fract_z
_atom_site_occupancy
Ta1 Ta 0.041 0.730 0.742 1
Ta2 Ta 0.270 0.959 0.758 1
Ta3 Ta 0.730 0.041 0.242 1
Ta4 Ta 0.959 0.270 0.258 1
Zn1 Zn 0.127 0.434 0.235 1
Zn2 Zn 0.434 0.127 0.735 1
Zn3 Zn 0.566 0.873 0.265 1
Zn4 Zn 0.873 0.566 0.765 1
Fe1 Fe 0.374 0.626 0.250 1
Fe2 Fe 0.626 0.374 0.750 1
O1 O 0.051 0.813 0.081 1
O2 O 0.079 0.278 0.563 1
O3 O 0.160 0.454 0.865 1
O4 O 0.187 0.949 0.419 1
O5 O 0.278 0.079 0.063 1
O6 O 0.315 0.567 0.587 1
O7 O 0.433 0.685 0.913 1
O8 O 0.454 0.160 0.365 1
O9 O 0.546 0.840 0.635 1
O10 O 0.567 0.315 0.087 1
O11 O 0.685 0.433 0.413 1
O12 O 0.722 0.921 0.937 1
O13 O 0.813 0.051 0.581 1
O14 O 0.840 0.546 0.135 1
O15 O 0.921 0.722 0.437 1
O16 O 0.949 0.187 0.919 1
```

Properties
Density of states at the Fermi level   6.142 states/eV/cell
Space-group type   C2/c, No. 15


(8)
Density functional theory data (PBEsol) for ZrTaFe2O after structural relaxation.

CIF file:
```
data_ZrTaFe2O
_chemical_formula_sum 'Zr1 Ta1 Fe2 O1'
_space_group_name_H-M_alt 'P 1'
_space_group_IT_number 1
_cell_length_a 4.286
_cell_length_b 4.286
_cell_length_c 5.344
_cell_angle_alpha 90.00
_cell_angle_beta 90.00
_cell_angle_gamma 90.00
loop_
_space_group_symop_operation_xyz
'x,y,z'
loop_
_atom_site_label
_atom_site_type_symbol
_atom_site_fract_x
_atom_site_fract_y
_atom_site_fract_z
_atom_site_occupancy
Zr1 Zr 0.000 0.000 0.000 1
Ta1 Ta 0.000 0.000 0.500 1
Fe1 Fe 0.000 0.500 0.500 1
Fe2 Fe 0.500 0.000 0.500 1
O1 O 0.500 0.500 0.000 1
```

Properties
Density of states at the Fermi level   5.823 states/eV/cell
Space-group type   P4/mmm, No. 123


(9)
Density functional theory data (PBEsol) for FeTc2WO after structural relaxation.

CIF file:
```
data_FeTc2WO
_chemical_formula_sum 'Fe1 Tc2 W1 O1'
_space_group_name_H-M_alt 'P 1'
_space_group_IT_number 1
_cell_length_a 4.621
_cell_length_b 4.621
_cell_length_c 3.229
_cell_angle_alpha 90.00
_cell_angle_beta 90.00
_cell_angle_gamma 90.00
loop_
_space_group_symop_operation_xyz
'x,y,z'
loop_
_atom_site_label
_atom_site_type_symbol
_atom_site_fract_x
_atom_site_fract_y
_atom_site_fract_z
_atom_site_occupancy
Fe1 Fe 0.000 0.000 0.000 1
Tc1 Tc 0.000 0.500 0.000 1
Tc2 Tc 0.500 0.000 0.000 1
W1 W 0.500 0.500 0.500 1
O1 O 0.000 0.000 0.500 1
```

Properties
Density of states at the Fermi level   4.829 states/eV/cell
Space-group type   P4/mmm, No. 123


(10)
Density functional theory data (PBEsol) for FeTe6O13 after structural relaxation.

CIF file:
```
data_FeTe6O13
_chemical_formula_sum 'Fe2 Te12 O26'
_space_group_name_H-M_alt 'P 1'
_space_group_IT_number 1
_cell_length_a 8.566
_cell_length_b 8.566
_cell_length_c 8.566
_cell_angle_alpha 72.13
_cell_angle_beta 72.13
_cell_angle_gamma 72.13
loop_
_space_group_symop_operation_xyz
'x,y,z'
loop_
_atom_site_label
_atom_site_type_symbol
_atom_site_fract_x
_atom_site_fract_y
_atom_site_fract_z
_atom_site_occupancy
Fe1 Fe 0.244 0.244 0.244 1
Fe2 Fe 0.756 0.756 0.756 1
Te1 Te 0.026 0.329 0.916 1
Te2 Te 0.084 0.974 0.671 1
Te3 Te 0.167 0.568 0.484 1
Te4 Te 0.329 0.916 0.026 1
Te5 Te 0.432 0.516 0.833 1
Te6 Te 0.484 0.167 0.568 1
Te7 Te 0.516 0.833 0.432 1
Te8 Te 0.568 0.484 0.167 1
Te9 Te 0.671 0.084 0.974 1
Te10 Te 0.833 0.432 0.516 1
Te11 Te 0.916 0.026 0.329 1
Te12 Te 0.974 0.671 0.084 1
O1 O 0.046 0.136 0.386 1
O2 O 0.104 0.397 0.419 1
O3 O 0.117 0.797 0.874 1
O4 O 0.126 0.883 0.203 1
O5 O 0.136 0.386 0.046 1
O6 O 0.200 0.452 0.703 1
O7 O 0.203 0.126 0.883 1
O8 O 0.297 0.800 0.548 1
O9 O 0.386 0.046 0.136 1
O10 O 0.397 0.419 0.104 1
O11 O 0.415 0.415 0.415 1
O12 O 0.419 0.104 0.397 1
O13 O 0.452 0.703 0.200 1
O14 O 0.548 0.297 0.800 1
O15 O 0.581 0.896 0.603 1
O16 O 0.585 0.585 0.585 1
O17 O 0.603 0.581 0.896 1
O18 O 0.614 0.954 0.864 1
O19 O 0.703 0.200 0.452 1
O20 O 0.797 0.874 0.117 1
O21 O 0.800 0.548 0.297 1
O22 O 0.864 0.614 0.954 1
O23 O 0.874 0.117 0.797 1
O24 O 0.883 0.203 0.126 1
O25 O 0.896 0.603 0.581 1
O26 O 0.954 0.864 0.614 1
```

Properties
Density of states at the Fermi level   9.656 states/eV/cell
Space-group type   R-3, No. 148


(11)
Density functional theory data (PBEsol) for Fe2TeO6 after structural relaxation.

CIF file:
```
data_Fe2TeO6
_chemical_formula_sum 'Fe4 Te2 O12'
_space_group_name_H-M_alt 'P 1'
_space_group_IT_number 1
_cell_length_a 4.435
_cell_length_b 4.435
_cell_length_c 8.974
_cell_angle_alpha 90.00
_cell_angle_beta 90.00
_cell_angle_gamma 90.00
loop_
_space_group_symop_operation_xyz
'x,y,z'
loop_
_atom_site_label
_atom_site_type_symbol
_atom_site_fract_x
_atom_site_fract_y
_atom_site_fract_z
_atom_site_occupancy
Fe1 Fe 0.000 0.000 0.168 1
Fe2 Fe 0.000 0.000 0.832 1
Fe3 Fe 0.500 0.500 0.332 1
Fe4 Fe 0.500 0.500 0.668 1
Te1 Te 0.000 0.000 0.500 1
Te2 Te 0.500 0.500 0.000 1
O1 O 0.182 0.182 0.000 1
O2 O 0.199 0.199 0.326 1
O3 O 0.199 0.199 0.674 1
O4 O 0.301 0.699 0.174 1
O5 O 0.301 0.699 0.826 1
O6 O 0.318 0.682 0.500 1
O7 O 0.682 0.318 0.500 1
O8 O 0.699 0.301 0.174 1
O9 O 0.699 0.301 0.826 1
O10 O 0.801 0.801 0.326 1
O11 O 0.801 0.801 0.674 1
O12 O 0.818 0.818 0.000 1
```

Properties
Density of states at the Fermi level   10.819 states/eV/cell
Space-group type   P4_2/mnm, No. 136


(12)
Density functional theory data (PBEsol) for FeTe2O after structural relaxation.

CIF file:
```
data_FeTe2O
_chemical_formula_sum 'Fe2 Te4 O2'
_space_group_name_H-M_alt 'P 1'
_space_group_IT_number 1
_cell_length_a 6.857
_cell_length_b 6.857
_cell_length_c 6.857
_cell_angle_alpha 134.45
_cell_angle_beta 134.45
_cell_angle_gamma 66.38
loop_
_space_group_symop_operation_xyz
'x,y,z'
loop_
_atom_site_label
_atom_site_type_symbol
_atom_site_fract_x
_atom_site_fract_y
_atom_site_fract_z
_atom_site_occupancy
Fe1 Fe 0.000 0.000 0.000 1
Fe2 Fe 0.750 0.250 0.500 1
Te1 Te 0.124 0.625 0.999 1
Te2 Te 0.375 0.374 0.499 1
Te3 Te 0.626 0.125 0.001 1
Te4 Te 0.875 0.876 0.501 1
O1 O 0.250 0.750 0.500 1
O2 O 0.500 0.500 0.000 1
```

Properties
Density of states at the Fermi level   7.010 states/eV/cell
Space-group type   I-42d, No. 122


no.,uncorrected energy (hartree per atom),formation energy without anion corrections (eV per formula unit)
1,-0.3387,-12.784
2,-0.3374,-12.572
3,-0.3386,-12.765
4,-0.3384,-12.745
5,-0.3383,-12.715
6,-0.3396,-21.838
7,-0.3010,-27.242
8,-0.2694,8.167
9,-0.3413,4.112
10,-0.2184,-20.520
11,-0.2586,-10.388
12,-0.1918,0.386